Density functional theory data (PBE) for a relaxed structure of CrC.

Lattice parameters (Å, degrees): 3.1455 3.1455 3.1455 60.00 60.00 60.00
Positions (direct):
1 Cr 0.0000 0.0000 0.0000
2 C 0.2500 0.2500 0.2500

Properties
For the electronic total energy, the calculation gives -8.965 eV per atom. As for the total magnetic moment: 1.6 μB per formula unit. Its space group is No. 216. The formation energy comes out at 0.46 eV/atom.